# LiPt2Au, relaxed, DFT GGA-PBE
data_LiPt2Au
_cell_length_a 3.884
_cell_length_b 3.884
_cell_length_c 4.087
_cell_angle_alpha 90.00
_cell_angle_beta 90.00
_cell_angle_gamma 90.00
_symmetry_space_group_name_H-M 'P 4/m m m'
_symmetry_Int_Tables_number 123
_symmetry_space_group_name_Hall '-P 4 2'
loop_
_atom_site_label
_atom_site_type_symbol
_atom_site_fract_x
_atom_site_fract_y
_atom_site_fract_z
Li1 Li 0.000 0.000 0.000
Pt1 Pt 0.000 0.500 0.500
Au1 Au 0.500 0.500 0.000
# **DFT formation energy**: -332 meV per atom